This record from the Alexandria database describes a geometry-optimized TlCdPb2 structure. The functional is PBEsol.

The value obtained for the volume is 109.4 Å³ per cell. The value obtained for the distance to the lowest polymorph of the same formula is 0.0134 eV per atom. For the electronic total energy, the calculation gives -2.916 eV per atom. As for the formation energy: 0.0404 eV/atom.

The structure belongs to space group Pmm2 (No. 25); the cell edges are 3.402, 4.768 and 6.742 Å and the angles 90.00°, 90.00° and 90.00°. The distinct sites, in fractional coordinates, are Tl at (0.000, 0.000, 0.000), Cd at (0.500, 0.500, 0.240), Pb at (0.000, 0.000, 0.482) and Pb at (0.500, 0.500, 0.745).


This record from the Alexandria database describes a geometry-optimized YMoN2 structure. The functional is PBEsol.

The value obtained for the volume is 233.3 Å³ per cell. As for the raw formation energy: -0.90 eV per atom. For the electronic total energy, the calculation gives -9.806 eV per atom.

The structure belongs to space group I-42d (No. 122); the cell edges are 4.823, 4.823 and 10.032 Å and the angles 90.00°, 90.00° and 90.00°. The distinct sites, in fractional coordinates, are Y at (0.000, 0.000, 0.000), Mo at (0.000, 0.000, 0.500) and N at (0.191, 0.250, 0.625).


This record from the Alexandria database describes a geometry-optimized BaMn structure. The functional is PBEsol.

The value obtained for the volume is 382.9 Å³ per cell. For the electronic total energy, the calculation gives -5.220 eV per atom. As for the formation energy: 0.7350 eV/atom.

The structure belongs to space group Imm2 (No. 44); the cell edges are 4.174, 13.326 and 6.884 Å and the angles 90.00°, 90.00° and 90.00°. The distinct sites, in fractional coordinates, are Ba at (0.000, 0.000, 0.000), Ba at (0.000, 0.287, 0.768), Mn at (0.000, 0.000, 0.517) and Mn at (0.000, 0.410, 0.185).


This record from the Alexandria database describes a geometry-optimized Rb5Hg19 structure. The functional is PBEsol.

The value obtained for the volume is 1399.1 Å³ per cell. For the electronic total energy, the calculation gives -0.872 eV per atom. As for the formation energy: -0.2099 eV/atom.

The structure belongs to space group I4/m (No. 87); the cell edges are 11.518, 11.518 and 10.545 Å and the angles 90.00°, 90.00° and 90.00°. The distinct sites, in fractional coordinates, are Rb at (0.000, 0.000, 0.000), Rb at (0.120, 0.674, 0.500), Hg at (0.000, 0.000, 0.500), Hg at (0.000, 0.500, 0.250), Hg at (0.078, 0.172, 0.286) and Hg at (0.114, 0.705, 0.139).


This record from the Alexandria database describes a geometry-optimized SrLiSi2 structure. The functional is PBEsol.

The value obtained for the volume is 93.6 Å³ per cell. As for the raw formation energy: -0.31 eV per atom. The value obtained for the distance to the lowest polymorph of the same formula is 0.0029 eV per atom. For the electronic total energy, the calculation gives -4.138 eV per atom.

The structure belongs to space group Pm (No. 6); the cell edges are 4.219, 3.817 and 6.176 Å and the angles 90.00°, 109.83° and 90.00°. The distinct sites, in fractional coordinates, are Sr at (0.000, 0.000, 0.000), Li at (0.743, 0.500, 0.482), Si at (0.272, 0.000, 0.540) and Si at (0.392, 0.500, 0.783).


This record from the Alexandria database describes a geometry-optimized HfTlSe2N structure. The functional is PBEsol.

The value obtained for the volume is 113.9 Å³ per cell. As for the raw formation energy: -0.35 eV per atom. For the electronic total energy, the calculation gives -6.219 eV per atom.

The structure belongs to space group P4/mmm (No. 123); the cell edges are 5.265, 5.265 and 4.110 Å and the angles 90.00°, 90.00° and 90.00°. The distinct sites, in fractional coordinates, are Hf at (0.000, 0.000, 0.000), Tl at (0.500, 0.500, 0.500), Se at (0.000, 0.500, 0.000) and N at (0.000, 0.000, 0.500).


This record from the Alexandria database describes a geometry-optimized BaPb3O4 structure. The functional is PBEsol.

The value obtained for the volume is 326.7 Å³ per cell. As for the raw formation energy: -1.49 eV per atom. For the electronic total energy, the calculation gives -5.878 eV per atom.

The structure belongs to space group P-62c (No. 190); the cell edges are 7.7975, 7.7975 and 6.2044 Å and the angles 90.00°, 90.00° and 120.00°. The distinct sites, in fractional coordinates, are Ba at (0.3333, 0.6667, 0.2500), Pb at (0.1672, 0.8252, 0.7500), O at (0.0000, 0.6051, 0.0000) and O at (0.3333, 0.6667, 0.7500).


This record from the Alexandria database describes a geometry-optimized CuHgAuN2 structure. The functional is PBEsol.

The value obtained for the volume is 84.7 Å³ per cell. As for the raw formation energy: 2.15 eV per atom. For the electronic total energy, the calculation gives -3.028 eV per atom.

The structure belongs to space group P4/mmm (No. 123); the cell edges are 4.084, 4.084 and 5.078 Å and the angles 90.00°, 90.00° and 90.00°. The distinct sites, in fractional coordinates, are Cu at (0.000, 0.000, 0.000), Hg at (0.000, 0.000, 0.500), Au at (0.500, 0.500, 0.000) and N at (0.000, 0.500, 0.500).


Question: Which formula does entry 8 have?
Answer: CuHgAuN2